# Ba3TiCu2O8

An optimized crystal structure of Ba3TiCu2O8 (PBE, Alexandria via LeMat-Bulk).

The structure in CIF format:
```
data_Ba3TiCu2O8
_symmetry_space_group_name_H-M 'P 1'
_symmetry_Int_Tables_number 1
_cell_length_a 5.752
_cell_length_b 5.752
_cell_length_c 7.545
_cell_angle_alpha 90.00
_cell_angle_beta 90.00
_cell_angle_gamma 120.00
loop_
_symmetry_equiv_pos_as_xyz
'x,y,z'
loop_
_atom_site_label
_atom_site_fract_x
_atom_site_fract_y
_atom_site_fract_z
O1 0.333 0.667 0.988
O2 0.160 0.840 0.343
O3 0.840 0.681 0.657
O4 0.840 0.160 0.657
O5 0.681 0.840 0.343
O6 0.160 0.319 0.343
O7 0.667 0.333 0.012
O8 0.319 0.160 0.657
Ti1 0.000 0.000 0.500
Ba1 0.000 0.000 0.000
Ba2 0.333 0.667 0.650
Ba3 0.667 0.333 0.350
Cu1 0.667 0.333 0.776
Cu2 0.333 0.667 0.224
```

Output
* uncorrected energy: -6.30 eV per atom
* magnetic moment: 0.290 μB/atom